Computed, not measured: LiFe2CoSb after structural relaxation at the GGA-PBE level of DFT.

Calculated values
Total magnetic moment, μB/cell: 7.0
Energy relative to the elements, uncorrected, meV per atom: 1050.8
Volume, A^3/atom: 22.28
Space-group type: P4/mmm (123)

Cell lengths 4.851, 4.851, 4.735 Å; angles 90.00, 90.00, 90.00 degrees
Atoms (fractional coordinates):
Li: 0.000 0.000 0.000
Fe: 0.000 0.500 0.500
Fe: 0.500 0.000 0.500
Co: 0.500 0.500 0.000
Sb: 0.500 0.500 0.500